Version A
Tl2FeW: single point on PBEsol structure, SCAN.

## Properties
- Spin magnetization: 2.769 μB/f.u.
- Volume: 282 Å³ per cell
- DOS at the Fermi energy: 13.22 states/eV per cell
- Crystal system: cubic

abc: 6.559 6.559 6.559
angles: 90.00 90.00 90.00
Space group Fm-3m (No. 225)
Symmetry-distinct sites (fractional):
Tl  0.250  0.250  0.250
Fe  0.000  0.000  0.000
W  0.000  0.000  0.500

Version B
Tl2FeW: single point on PBEsol structure, SCAN.

## Properties
- Spin magnetization: 2.924 μB/f.u.
- Volume: 144 Å³ per cell
- DOS at the Fermi energy: 4.25 states/eV per cell
- Crystal system: orthorhombic

abc: 3.054 5.060 9.294
angles: 90.00 90.00 90.00
Space group Immm (No. 71)
Symmetry-distinct sites (fractional):
Tl  0.000  0.000  0.233
Fe  0.000  0.500  0.500
W  0.000  0.500  0.000

Version C
Tl2FeW: single point on PBEsol structure, SCAN.

## Properties
- Spin magnetization: 0.001 μB/f.u.
- Volume: 236 Å³ per cell
- DOS at the Fermi energy: 9.06 states/eV per cell
- Crystal system: trigonal

abc: 3.2042 3.2042 26.5659
angles: 90.00 90.00 120.00
Space group R3m (No. 160, hexagonal axes)
Symmetry-distinct sites (fractional):
Tl  0.0000  0.0000  0.0000
Tl  0.0000  0.0000  0.2293
Fe  0.0000  0.0000  0.4786
W  0.0000  0.0000  0.7607

Most stable to least stable, the ends of the list are version C and version A.

Version A
TlFeW2: single point on PBEsol structure, SCAN.

## Properties
- Spin magnetization: 2.484 μB/f.u.
- Volume: 126 Å³ per cell
- DOS at the Fermi energy: 3.75 states/eV per cell
- Crystal system: orthorhombic

abc: 3.234 4.318 9.020
angles: 90.00 90.00 90.00
Space group Immm (No. 71)
Symmetry-distinct sites (fractional):
Tl  0.000  0.000  0.000
Fe  0.000  0.000  0.500
W  0.000  0.500  0.235

Version B
TlFeW2: single point on PBEsol structure, SCAN.

## Properties
- Spin magnetization: 2.638 μB/f.u.
- Volume: 126 Å³ per cell
- DOS at the Fermi energy: 5.40 states/eV per cell
- Crystal system: tetragonal

abc: 4.007 4.007 7.839
angles: 90.00 90.00 90.00
Space group I-4m2 (No. 119)
Symmetry-distinct sites (fractional):
Tl  0.000  0.000  0.000
Fe  0.000  0.500  0.750
W  0.000  0.000  0.500
W  0.000  0.500  0.250

Most stable to least stable, the ends of the list are version A and version B.

Version A
YTl2Fe: single point on PBEsol structure, SCAN.

## Properties
- Spin magnetization: 2.814 μB/f.u.
- Volume: 176 Å³ per cell
- DOS at the Fermi energy: 4.74 states/eV per cell
- Crystal system: tetragonal

abc: 4.365 4.365 9.231
angles: 90.00 90.00 90.00
Space group I-4m2 (No. 119)
Symmetry-distinct sites (fractional):
Y  0.000  0.000  0.000
Tl  0.000  0.000  0.500
Tl  0.000  0.500  0.750
Fe  0.000  0.500  0.250

Version B
YTl2Fe: single point on PBEsol structure, SCAN.

## Properties
- Spin magnetization: 2.979 μB/f.u.
- Volume: 84 Å³ per cell
- DOS at the Fermi energy: 1.82 states/eV per cell
- Crystal system: tetragonal

abc: 3.447 3.447 7.066
angles: 90.00 90.00 90.00
Space group P4/mmm (No. 123)
Symmetry-distinct sites (fractional):
Y  0.000  0.000  0.000
Tl  0.500  0.500  0.288
Fe  0.000  0.000  0.500

Most stable to least stable, the ends of the list are version B and version A.

Version A
FeW2: single point on PBEsol structure, SCAN.

## Properties
- Spin magnetization: 0.000 μB/f.u.
- Volume: 167 Å³ per cell
- DOS at the Fermi energy: 9.13 states/eV per cell
- Crystal system: tetragonal

abc: 5.896 5.896 4.794
angles: 90.00 90.00 90.00
Space group I4/mcm (No. 140)
Symmetry-distinct sites (fractional):
Fe  0.000  0.000  0.250
W  0.160  0.340  0.000

Version B
FeW2: single point on PBEsol structure, SCAN.

## Properties
- Spin magnetization: 2.610 μB/f.u.
- Volume: 43 Å³ per cell
- DOS at the Fermi energy: 1.75 states/eV per cell
- Crystal system: trigonal

abc: 4.3610 4.3610 2.6125
angles: 90.00 90.00 120.00
Space group P-3m1 (No. 164)
Symmetry-distinct sites (fractional):
Fe  0.0000  0.0000  0.0000
W  0.3333  0.6667  0.3251

Most stable to least stable, the ends of the list are version B and version A.

Version A
YFeW2: single point on PBEsol structure, SCAN.

## Properties
- Spin magnetization: 0.978 μB/f.u.
- Volume: 65 Å³ per cell
- DOS at the Fermi energy: 3.66 states/eV per cell
- Crystal system: tetragonal

abc: 4.489 4.489 3.210
angles: 90.00 90.00 90.00
Space group P4/mmm (No. 123)
Symmetry-distinct sites (fractional):
Y  0.000  0.000  0.000
Fe  0.500  0.500  0.000
W  0.000  0.500  0.500

Version B
YFeW2: single point on PBEsol structure, SCAN.

## Properties
- Spin magnetization: 0.000 μB/f.u.
- Volume: 65 Å³ per cell
- DOS at the Fermi energy: 4.54 states/eV per cell
- Crystal system: tetragonal

abc: 2.813 2.813 8.268
angles: 90.00 90.00 90.00
Space group P4/mmm (No. 123)
Symmetry-distinct sites (fractional):
Y  0.000  0.000  0.000
Fe  0.000  0.000  0.500
W  0.500  0.500  0.302

Most stable to least stable, the ends of the list are version B and version A.

Version A
YFe4: single point on PBEsol structure, SCAN.

## Properties
- Spin magnetization: 10.238 μB/f.u.
- Volume: 139 Å³ per cell
- DOS at the Fermi energy: 9.12 states/eV per cell
- Crystal system: tetragonal

abc: 5.759 5.759 4.201
angles: 90.00 90.00 90.00
Space group I4/m (No. 87)
Symmetry-distinct sites (fractional):
Y  0.000  0.000  0.000
Fe  0.057  0.690  0.500

Version B
YFe4: single point on PBEsol structure, SCAN.

## Properties
- Spin magnetization: 10.076 μB/f.u.
- Volume: 176 Å³ per cell
- DOS at the Fermi energy: 9.70 states/eV per cell
- Crystal system: cubic

abc: 5.600 5.600 5.600
angles: 90.00 90.00 90.00
Space group Im-3m (No. 229)
Symmetry-distinct sites (fractional):
Y  0.000  0.000  0.000
Fe  0.250  0.250  0.250

Most stable to least stable, the ends of the list are version A and version B.